An optimized crystal structure of Li11V16O32, computed with PBE+U.

Cell: 8.4111 8.5159 10.3640 Å, 113.41 113.23 91.27°
Space group P1 (No. 1)
Inequivalent atoms, fractional coordinates:
Li: 0.0000 0.0000 0.0000
Li: 0.0350 0.8151 0.3390
Li: 0.1107 0.6329 0.7402
Li: 0.2684 0.7389 0.5066
Li: 0.3414 0.5518 0.9059
Li: 0.3759 0.3707 0.2479
Li: 0.5556 0.3411 0.8995
Li: 0.6340 0.1027 0.7372
Li: 0.6872 0.6856 0.1234
Li: 0.7426 0.2638 0.5086
Li: 0.8223 0.0259 0.3474
V: 0.0489 0.3015 0.8626
V: 0.0669 0.3157 0.3780
V: 0.1873 0.6846 0.1215
V: 0.1934 0.1793 0.6221
V: 0.3113 0.0570 0.8703
V: 0.3259 0.0656 0.3820
V: 0.4273 0.9412 0.1230
V: 0.4445 0.4408 0.6290
V: 0.5572 0.8040 0.3693
V: 0.5664 0.8178 0.8776
V: 0.6851 0.6874 0.6233
V: 0.6892 0.1864 0.1252
V: 0.8107 0.5566 0.3694
V: 0.8164 0.5652 0.8763
V: 0.9357 0.9285 0.6198
V: 0.9497 0.4295 0.1238
O: 0.0452 0.5509 0.3551
O: 0.0600 0.0587 0.8498
O: 0.0720 0.5489 0.8843
O: 0.0846 0.0771 0.3988
O: 0.1623 0.4323 0.1092
O: 0.1818 0.9491 0.6277
O: 0.2071 0.4205 0.6219
O: 0.2133 0.9374 0.1354
O: 0.2896 0.2931 0.8466
O: 0.2991 0.8182 0.3576
O: 0.3171 0.3090 0.3977
O: 0.3318 0.8214 0.8914
O: 0.4309 0.2020 0.6293
O: 0.4334 0.1628 0.1048
O: 0.4349 0.7062 0.1325
O: 0.4544 0.6742 0.6372
O: 0.5538 0.0429 0.3618
O: 0.5590 0.0609 0.8851
O: 0.5613 0.5680 0.8693
O: 0.5795 0.5767 0.3850
O: 0.6641 0.9444 0.1226
O: 0.6741 0.4490 0.6387
O: 0.6952 0.9181 0.6032
O: 0.7132 0.4272 0.1254
O: 0.7982 0.7925 0.8621
O: 0.8142 0.8033 0.3772
O: 0.8211 0.3140 0.3661
O: 0.8217 0.3262 0.8839
O: 0.9243 0.7033 0.6121
O: 0.9397 0.6630 0.1114
O: 0.9445 0.2093 0.1439
O: 0.9473 0.1566 0.6141

Calculated values
final energy: -7.1512 eV per atom

An optimized crystal structure of Li2V6O13, computed with PBE+U.

Cell: 12.1172 3.7087 11.1492 Å, 90.00 101.11 90.00°
Space group C2/m (No. 12)
Inequivalent atoms, fractional coordinates:
Li: 0.0893 0.0000 0.1358
V: 0.0923 0.5000 0.6083
V: 0.1459 0.5000 0.9498
V: 0.2049 0.5000 0.3640
O: 0.0000 0.5000 0.0000
O: 0.0666 0.5000 0.4284
O: 0.1099 0.5000 0.7946
O: 0.1236 0.0000 0.6216
O: 0.1525 0.5000 0.2132
O: 0.1816 0.0000 0.0071
O: 0.2416 0.0000 0.4062

Calculated values
final energy: -7.3600 eV per atom

An optimized crystal structure of LiV5O10, computed with PBE+U.

Cell: 5.1302 5.1555 7.8672 Å, 71.37 72.79 79.83°
Space group P1 (No. 1)
Inequivalent atoms, fractional coordinates:
Li: 0.0000 0.0000 0.0000
V: 0.1204 0.5190 0.5719
V: 0.5848 0.5953 0.8911
V: 0.6120 0.1882 0.6935
V: 0.6298 0.8514 0.4473
V: 0.6512 0.4465 0.2524
O: 0.3879 0.7202 0.3530
O: 0.3984 0.5457 0.7096
O: 0.4013 0.9714 0.8846
O: 0.4097 0.4099 0.1067
O: 0.4171 0.1902 0.5077
O: 0.8245 0.0683 0.2478
O: 0.8261 0.8460 0.6347
O: 0.8305 0.6483 0.0379
O: 0.8414 0.4867 0.4396
O: 0.8554 0.3051 0.8001

Calculated values
final energy: -7.5245 eV per atom

An optimized crystal structure of LiV3O6, computed with PBE+U.

Cell: 5.0077 5.1168 5.3128 Å, 104.15 107.11 111.20°
Space group P1 (No. 1)
Inequivalent atoms, fractional coordinates:
Li: 0.0000 0.0000 0.0000
V: 0.1821 0.8048 0.5146
V: 0.3760 0.6270 0.0324
V: 0.5295 0.4265 0.5344
O: 0.1755 0.4230 0.2502
O: 0.3135 0.2498 0.7379
O: 0.3730 0.9950 0.2878
O: 0.5487 0.8041 0.7848
O: 0.7405 0.6828 0.2842
O: 0.9624 0.5819 0.7404

Calculated values
polymorph energy (0 for the lowest one): 17 meV/atom

An optimized crystal structure of Li4V3O8, computed with PBE+U.

Cell: 6.2249 4.0205 11.7921 Å, 90.00 99.99 90.00°
Space group P2_1/m (No. 11)
Inequivalent atoms, fractional coordinates:
Li: 0.0062 0.2500 0.3161
Li: 0.1871 0.2500 0.5944
Li: 0.4291 0.2500 0.0617
Li: 0.4520 0.7500 0.6939
V: 0.1140 0.7500 0.9230
V: 0.2291 0.7500 0.1917
V: 0.3296 0.7500 0.4464
O: 0.0562 0.2500 0.9333
O: 0.0729 0.7500 0.3175
O: 0.1812 0.7500 0.5622
O: 0.1887 0.2500 0.1775
O: 0.2731 0.7500 0.8197
O: 0.3592 0.7500 0.0572
O: 0.3710 0.2500 0.4537
O: 0.4815 0.7500 0.3092

Calculated values
polymorph energy (0 for the lowest one): 0 meV/atom

An optimized crystal structure of Li5V12O32, computed with PBE+U.

Cell: 13.7309 7.2908 12.1871 Å, 90.00 108.12 90.00°
Space group Cm (No. 8)
Inequivalent atoms, fractional coordinates:
Li: 0.0000 0.0000 0.0000
Li: 0.0024 0.2653 0.6311
Li: 0.0312 0.0000 0.3637
Li: 0.4973 0.0000 0.0005
V: 0.1439 0.2498 0.2316
V: 0.1723 0.0000 0.8523
V: 0.1723 0.5000 0.8510
V: 0.2159 0.2497 0.5110
V: 0.2813 0.5000 0.1180
V: 0.2844 0.0000 0.1221
V: 0.3272 0.2498 0.7779
V: 0.3441 0.5000 0.3939
V: 0.3487 0.0000 0.3957
O: 0.0378 0.2471 0.1217
O: 0.0592 0.5000 0.7512
O: 0.0596 0.0000 0.7532
O: 0.1059 0.2340 0.3570
O: 0.1387 0.2487 0.5911
O: 0.1504 0.5000 0.9870
O: 0.1511 0.0000 0.9880
O: 0.1854 0.5000 0.2420
O: 0.1873 0.0000 0.2372
O: 0.2154 0.2507 0.8543
O: 0.2419 0.5000 0.4842
O: 0.2459 0.0000 0.4885
O: 0.2521 0.2516 0.1393
O: 0.2832 0.5000 0.7759
O: 0.2836 0.0000 0.7760
O: 0.3069 0.2494 0.3856
O: 0.3492 0.2517 0.6434
O: 0.3574 0.0000 0.0382
O: 0.3573 0.5000 0.0381
O: 0.3852 0.0000 0.2668
O: 0.3849 0.5000 0.2672
O: 0.4400 0.2497 0.8777
O: 0.4559 0.0000 0.5040
O: 0.4579 0.5000 0.4937

Calculated values
final energy: -7.1623 eV per atom

An optimized crystal structure of Li4V3O8, computed with PBE+U.

Cell: 10.8190 5.8511 10.1475 Å, 90.00 108.25 90.00°
Space group Cc (No. 9)
Inequivalent atoms, fractional coordinates:
Li: 0.0000 0.2395 0.0000
Li: 0.0392 0.2580 0.6822
Li: 0.0741 0.2561 0.3596
Li: 0.2872 0.2549 0.4292
V: 0.2843 0.4924 0.1813
V: 0.2873 0.2540 0.9320
V: 0.2911 0.0076 0.6789
O: 0.1818 0.4890 0.8092
O: 0.1828 0.2404 0.0625
O: 0.1852 0.2672 0.5706
O: 0.1900 0.0149 0.8086
O: 0.3902 0.2577 0.7980
O: 0.3914 0.2575 0.2889
O: 0.3916 0.0021 0.5596
O: 0.3927 0.4734 0.0461

Calculated values
polymorph energy (0 for the lowest one): 14 meV/atom

An optimized crystal structure of LiV6O12, computed with PBE+U.

Cell: 9.0376 9.0376 8.1529 Å, 90.00 90.00 120.00°
Space group R-3 (No. 148, hexagonal axes)
Inequivalent atoms, fractional coordinates:
Li: 0.0000 0.0000 0.0000
V: 0.0350 0.2522 0.6487
O: 0.0115 0.2124 0.8792
O: 0.0274 0.2044 0.3831

Calculated values
final energy: -7.5089 eV per atom

An optimized crystal structure of LiVO2, computed with PBE+U.

Cell: 5.8353 5.8431 8.7547 Å, 89.99 89.85 89.84°
Space group P1 (No. 1)
Inequivalent atoms, fractional coordinates:
Li: 0.0000 0.0000 0.0000
Li: 0.9999 0.0005 0.4998
Li: 0.2479 0.2465 0.2479
Li: 0.2507 0.7519 0.7524
Li: 0.5004 0.0000 0.9985
Li: 0.5004 0.4991 0.4996
Li: 0.7493 0.7523 0.2469
Li: 0.7524 0.2471 0.7504
V: 0.0000 0.4962 0.5000
V: 0.0002 0.4972 0.0002
V: 0.2423 0.7603 0.2495
V: 0.2473 0.2389 0.7514
V: 0.5000 0.0018 0.5010
V: 0.5006 0.4975 0.9996
V: 0.7526 0.2400 0.2491
V: 0.7577 0.7608 0.7511
O: 0.0014 0.9980 0.7526
O: 0.0061 0.4964 0.7491
O: 0.2477 0.2568 0.9896
O: 0.2477 0.7392 0.0151
O: 0.2477 0.7426 0.4797
O: 0.2495 0.2535 0.5132
O: 0.4977 0.0024 0.7335
O: 0.5001 0.5011 0.2327
O: 0.5002 0.5015 0.7675
O: 0.5031 0.0027 0.2704
O: 0.7505 0.7453 0.5194
O: 0.7524 0.2578 0.0099
O: 0.7535 0.2559 0.4872
O: 0.7535 0.7405 0.9852
O: 0.9937 0.4959 0.2506
O: 0.9990 0.9982 0.2471

Calculated values
final energy: -6.9038 eV per atom

An optimized crystal structure of LiVO2, computed with PBE+U.

Cell: 2.9922 2.9922 14.7156 Å, 90.00 90.00 120.00°
Space group R-3m (No. 166, hexagonal axes)
Inequivalent atoms, fractional coordinates:
Li: 0.0000 0.0000 0.0000
V: 0.0000 0.0000 0.5000
O: 0.0000 0.0000 0.2432

Calculated values
final energy: -6.9274 eV per atom

An optimized crystal structure of Li4V5O12, computed with PBE+U.

Cell: 9.0672 9.1690 15.6118 Å, 90.00 124.65 90.00°
Space group P2_1/c (No. 14)
Inequivalent atoms, fractional coordinates:
Li: 0.0079 0.2331 0.1913
Li: 0.1753 0.6785 0.0370
Li: 0.2496 0.5969 0.2758
Li: 0.3687 0.0851 0.2978
V: 0.0375 0.6140 0.6420
V: 0.1368 0.0332 0.3815
V: 0.2655 0.1157 0.6505
V: 0.3599 0.0285 0.1091
V: 0.4542 0.7494 0.4936
O: 0.0291 0.7188 0.1946
O: 0.1129 0.0220 0.2368
O: 0.1156 0.0734 0.6849
O: 0.1697 0.0577 0.5246
O: 0.1751 0.0688 0.9625
O: 0.1865 0.6347 0.6055
O: 0.2322 0.6828 0.9330
O: 0.2887 0.1940 0.1646
O: 0.3844 0.1202 0.4320
O: 0.4564 0.0052 0.7308
O: 0.4667 0.6730 0.3949
O: 0.4807 0.6260 0.5855

Calculated values
final energy: -6.9885 eV per atom